(1)
Computed, not measured: crystalline Cu7Au6 at its relaxed geometry at the PBEsol level of DFT.

Its space group is No. 166. The formation energy is 0.0046 eV/atom.

abc: 9.1630 9.1630 9.1630
angles: 31.04 31.04 31.04
Fractional coordinates of all 13 atoms:
Cu  0.0000  0.0000  0.0000
Cu  0.0899  0.0899  0.5885
Cu  0.0899  0.5885  0.0899
Cu  0.4115  0.9101  0.9101
Cu  0.5885  0.0899  0.0899
Cu  0.9101  0.4115  0.9101
Cu  0.9101  0.9101  0.4115
Au  0.1664  0.1664  0.1664
Au  0.3443  0.3443  0.3443
Au  0.4491  0.4491  0.4491
Au  0.5509  0.5509  0.5509
Au  0.6557  0.6557  0.6557
Au  0.8336  0.8336  0.8336

(2)
Computed, not measured: crystalline Cu5Au4 at its relaxed geometry at the PBEsol level of DFT.

Its space group is No. 193. The formation energy is 0.0392 eV/atom. The calculation puts the excess energy over the best structure of this formula in the dataset at 0.079 eV/atom.

abc: 7.5160 7.5160 5.2190
angles: 90.00 90.00 120.00
Fractional coordinates of all 18 atoms:
Cu  0.0000  0.3171  0.2500
Cu  0.0000  0.6829  0.7500
Cu  0.3171  0.0000  0.2500
Cu  0.3171  0.3171  0.7500
Cu  0.3333  0.6667  0.0000
Cu  0.3333  0.6667  0.5000
Cu  0.6667  0.3333  0.0000
Cu  0.6667  0.3333  0.5000
Cu  0.6829  0.0000  0.7500
Cu  0.6829  0.6829  0.2500
Au  0.0000  0.0000  0.0000
Au  0.0000  0.0000  0.5000
Au  0.0000  0.3565  0.7500
Au  0.0000  0.6435  0.2500
Au  0.3565  0.0000  0.7500
Au  0.3565  0.3565  0.2500
Au  0.6435  0.0000  0.2500
Au  0.6435  0.6435  0.7500

(3)
Computed, not measured: crystalline CuAu3 at its relaxed geometry at the PBEsol level of DFT.

Its space group is No. 25. The formation energy is 0.0187 eV/atom.

abc: 2.8275 4.6158 4.8390
angles: 90.00 90.00 90.00
Fractional coordinates of all 4 atoms:
Cu  0.0000  0.0000  0.0000
Au  0.0000  0.5000  0.6721
Au  0.5000  0.0000  0.4979
Au  0.5000  0.5000  0.1610

(4)
Computed, not measured: crystalline ErCu4Au at its relaxed geometry at the PBEsol level of DFT.

Its space group is No. 216. The formation energy is -0.3682 eV/atom.

abc: 4.9298 4.9298 4.9298
angles: 60.00 60.00 60.00
Fractional coordinates of all 6 atoms:
Er  0.0000  0.0000  0.0000
Cu  0.1268  0.6244  0.6244
Cu  0.6244  0.1268  0.6244
Cu  0.6244  0.6244  0.1268
Cu  0.6244  0.6244  0.6244
Au  0.2500  0.2500  0.2500

(5)
Computed, not measured: crystalline Er2CuAu at its relaxed geometry at the PBEsol level of DFT.

Its space group is No. 225. The formation energy is -0.5734 eV/atom.

abc: 6.8980 6.8980 6.8980
angles: 90.00 90.00 90.00
Fractional coordinates of all 16 atoms:
Er  0.2500  0.2500  0.2500
Er  0.2500  0.2500  0.7500
Er  0.2500  0.7500  0.2500
Er  0.2500  0.7500  0.7500
Er  0.7500  0.2500  0.2500
Er  0.7500  0.2500  0.7500
Er  0.7500  0.7500  0.2500
Er  0.7500  0.7500  0.7500
Cu  0.0000  0.0000  0.0000
Cu  0.0000  0.5000  0.5000
Cu  0.5000  0.0000  0.5000
Cu  0.5000  0.5000  0.0000
Au  0.0000  0.0000  0.5000
Au  0.0000  0.5000  0.0000
Au  0.5000  0.0000  0.0000
Au  0.5000  0.5000  0.5000

(6)
Computed, not measured: crystalline CuAuF2 at its relaxed geometry at the PBEsol level of DFT.

Its space group is No. 166. The calculation puts the uncorrected formation energy at -0.8190 eV/atom. The calculation puts the excess energy over the best structure of this formula in the dataset at 0.000 eV/atom.

abc: 2.8417 2.8417 24.1695
angles: 90.00 90.00 120.00
Fractional coordinates of all 12 atoms:
Cu  0.0000  0.0000  0.0000
Cu  0.3333  0.6667  0.6667
Cu  0.6667  0.3333  0.3333
Au  0.0000  0.0000  0.5000
Au  0.3333  0.6667  0.1667
Au  0.6667  0.3333  0.8333
F  0.0000  0.0000  0.3818
F  0.0000  0.0000  0.6182
F  0.3333  0.6667  0.0484
F  0.3333  0.6667  0.2849
F  0.6667  0.3333  0.7151
F  0.6667  0.3333  0.9516

(7)
Computed, not measured: crystalline CuAuF5 at its relaxed geometry at the PBEsol level of DFT.

Its space group is No. 2. The calculation puts the uncorrected formation energy at -1.2249 eV/atom.

abc: 3.7401 5.0144 5.4212
angles: 90.92 98.40 108.87
Fractional coordinates of all 7 atoms:
Cu  0.0000  0.0000  0.0000
Au  0.0000  0.5000  0.5000
F  0.1309  0.3537  0.8204
F  0.1854  0.2309  0.3350
F  0.5000  0.0000  0.0000
F  0.8146  0.7691  0.6650
F  0.8691  0.6463  0.1796

(8)
Computed, not measured: crystalline CuAuF2 at its relaxed geometry at the PBEsol level of DFT.

Its space group is No. 225. The calculation puts the uncorrected formation energy at -0.3918 eV/atom. The calculation puts the excess energy over the best structure of this formula in the dataset at 0.427 eV/atom.

abc: 5.7577 5.7577 5.7577
angles: 90.00 90.00 90.00
Fractional coordinates of all 16 atoms:
Cu  0.0000  0.0000  0.0000
Cu  0.0000  0.5000  0.5000
Cu  0.5000  0.0000  0.5000
Cu  0.5000  0.5000  0.0000
Au  0.0000  0.0000  0.5000
Au  0.0000  0.5000  0.0000
Au  0.5000  0.0000  0.0000
Au  0.5000  0.5000  0.5000
F  0.2500  0.2500  0.2500
F  0.2500  0.2500  0.7500
F  0.2500  0.7500  0.2500
F  0.2500  0.7500  0.7500
F  0.7500  0.2500  0.2500
F  0.7500  0.2500  0.7500
F  0.7500  0.7500  0.2500
F  0.7500  0.7500  0.7500

(9)
Computed, not measured: crystalline Rb2CuAuF6 at its relaxed geometry at the PBEsol level of DFT.

Its space group is No. 225. The calculation puts the uncorrected formation energy at -1.8670 eV/atom.

abc: 5.9704 5.9704 5.9704
angles: 60.00 60.00 60.00
Fractional coordinates of all 10 atoms:
Rb  0.2500  0.2500  0.2500
Rb  0.7500  0.7500  0.7500
Cu  0.0000  0.0000  0.0000
Au  0.5000  0.5000  0.5000
F  0.2351  0.2351  0.7649
F  0.2351  0.7649  0.2351
F  0.2351  0.7649  0.7649
F  0.7649  0.2351  0.2351
F  0.7649  0.2351  0.7649
F  0.7649  0.7649  0.2351

(10)
Computed, not measured: crystalline FeCu2Au at its relaxed geometry at the PBEsol level of DFT.

Its space group is No. 139. The formation energy is 0.1333 eV/atom.

abc: 3.7799 3.7799 7.2053
angles: 90.00 90.00 90.00
Fractional coordinates of all 8 atoms:
Fe  0.0000  0.0000  0.0000
Fe  0.5000  0.5000  0.5000
Cu  0.0000  0.5000  0.2500
Cu  0.0000  0.5000  0.7500
Cu  0.5000  0.0000  0.2500
Cu  0.5000  0.0000  0.7500
Au  0.0000  0.0000  0.5000
Au  0.5000  0.5000  0.0000

(11)
Computed, not measured: crystalline Fe2CuAu at its relaxed geometry at the PBEsol level of DFT.

Its space group is No. 25. The formation energy is 0.1309 eV/atom.

abc: 2.7925 3.2328 5.6743
angles: 90.00 90.00 90.00
Fractional coordinates of all 4 atoms:
Fe  0.0000  0.0000  0.0000
Fe  0.5000  0.5000  0.2163
Cu  0.5000  0.5000  0.7681
Au  0.0000  0.0000  0.4981

(12)
Computed, not measured: crystalline Fe2CuAu at its relaxed geometry at the PBEsol level of DFT.

Its space group is No. 166. The formation energy is 0.2986 eV/atom.

abc: 2.6488 2.6488 25.7956
angles: 90.00 90.00 120.00
Fractional coordinates of all 12 atoms:
Fe  0.0000  0.0000  0.2452
Fe  0.0000  0.0000  0.7548
Fe  0.3333  0.6667  0.4215
Fe  0.3333  0.6667  0.9118
Fe  0.6667  0.3333  0.0882
Fe  0.6667  0.3333  0.5785
Cu  0.0000  0.0000  0.5000
Cu  0.3333  0.6667  0.1667
Cu  0.6667  0.3333  0.8333
Au  0.0000  0.0000  0.0000
Au  0.3333  0.6667  0.6667
Au  0.6667  0.3333  0.3333

(13)
Computed, not measured: crystalline FeCu2IrAu at its relaxed geometry at the PBEsol level of DFT.

Its space group is No. 123. The formation energy is 1.6004 eV/atom.

abc: 4.5178 4.5178 4.9412
angles: 90.00 90.00 90.00
Fractional coordinates of all 5 atoms:
Fe  0.0000  0.0000  0.0000
Cu  0.0000  0.5000  0.5000
Cu  0.5000  0.0000  0.5000
Ir  0.5000  0.5000  0.5000
Au  0.5000  0.5000  0.0000

(14)
Computed, not measured: crystalline HfGaCu2Au at its relaxed geometry at the PBEsol level of DFT.

Its space group is No. 123. The formation energy is 1.3390 eV/atom.

abc: 4.6980 4.6980 5.1252
angles: 90.00 90.00 90.00
Fractional coordinates of all 5 atoms:
Hf  0.0000  0.0000  0.0000
Ga  0.0000  0.0000  0.5000
Cu  0.0000  0.5000  0.0000
Cu  0.5000  0.0000  0.0000
Au  0.5000  0.5000  0.5000

(15)
Computed, not measured: crystalline CuGeAuI2 at its relaxed geometry at the PBEsol level of DFT.

Its space group is No. 123. The calculation puts the uncorrected formation energy at 0.6130 eV/atom.

abc: 5.6521 5.6521 4.4082
angles: 90.00 90.00 90.00
Fractional coordinates of all 5 atoms:
Cu  0.0000  0.0000  0.0000
Ge  0.0000  0.0000  0.5000
Au  0.5000  0.5000  0.0000
I  0.0000  0.5000  0.5000
I  0.5000  0.0000  0.5000

(16)
Computed, not measured: crystalline Cu3HAu at its relaxed geometry at the PBEsol level of DFT.

Its space group is No. 221. The value obtained for the final energy is -4.026 eV per atom.

abc: 3.7639 3.7639 3.7639
angles: 90.00 90.00 90.00
Fractional coordinates of all 5 atoms:
Cu  0.0000  0.0000  0.5000
Cu  0.0000  0.5000  0.0000
Cu  0.5000  0.0000  0.0000
H  0.0000  0.0000  0.0000
Au  0.5000  0.5000  0.5000

(17)
Computed, not measured: crystalline HfCu2Au2 at its relaxed geometry at the PBEsol level of DFT.

Its space group is No. 139. The formation energy is -0.1384 eV/atom.

abc: 3.5163 3.5163 13.2093
angles: 90.00 90.00 90.00
Fractional coordinates of all 10 atoms:
Hf  0.0000  0.0000  0.0000
Hf  0.5000  0.5000  0.5000
Cu  0.0000  0.5000  0.2500
Cu  0.0000  0.5000  0.7500
Cu  0.5000  0.0000  0.2500
Cu  0.5000  0.0000  0.7500
Au  0.0000  0.0000  0.3955
Au  0.0000  0.0000  0.6045
Au  0.5000  0.5000  0.1045
Au  0.5000  0.5000  0.8955

(18)
Computed, not measured: crystalline Hf2Cu2Au at its relaxed geometry at the PBEsol level of DFT.

Its space group is No. 127. The formation energy is -0.3227 eV/atom.

abc: 6.8051 6.8051 3.4978
angles: 90.00 90.00 90.00
Fractional coordinates of all 10 atoms:
Hf  0.1710  0.3290  0.0000
Hf  0.3290  0.8290  0.0000
Hf  0.6710  0.1710  0.0000
Hf  0.8290  0.6710  0.0000
Cu  0.1260  0.6260  0.5000
Cu  0.3740  0.1260  0.5000
Cu  0.6260  0.8740  0.5000
Cu  0.8740  0.3740  0.5000
Au  0.0000  0.0000  0.5000
Au  0.5000  0.5000  0.5000

(19)
Computed, not measured: crystalline HfCuAu3 at its relaxed geometry at the PBEsol level of DFT.

Its space group is No. 221. The formation energy is 0.5018 eV/atom.

abc: 4.6048 4.6048 4.6048
angles: 90.00 90.00 90.00
Fractional coordinates of all 5 atoms:
Hf  0.0000  0.0000  0.0000
Cu  0.5000  0.5000  0.5000
Au  0.0000  0.5000  0.5000
Au  0.5000  0.0000  0.5000
Au  0.5000  0.5000  0.0000

(20)
Computed, not measured: crystalline HfCu2Au at its relaxed geometry at the PBEsol level of DFT.

Its space group is No. 225. The formation energy is -0.2856 eV/atom.

abc: 6.1655 6.1655 6.1655
angles: 90.00 90.00 90.00
Fractional coordinates of all 16 atoms:
Hf  0.0000  0.0000  0.0000
Hf  0.0000  0.5000  0.5000
Hf  0.5000  0.0000  0.5000
Hf  0.5000  0.5000  0.0000
Cu  0.2500  0.2500  0.2500
Cu  0.2500  0.2500  0.7500
Cu  0.2500  0.7500  0.2500
Cu  0.2500  0.7500  0.7500
Cu  0.7500  0.2500  0.2500
Cu  0.7500  0.2500  0.7500
Cu  0.7500  0.7500  0.2500
Cu  0.7500  0.7500  0.7500
Au  0.0000  0.0000  0.5000
Au  0.0000  0.5000  0.0000
Au  0.5000  0.0000  0.0000
Au  0.5000  0.5000  0.5000

(21)
Computed, not measured: crystalline HfNbCuAu2 at its relaxed geometry at the PBEsol level of DFT.

Its space group is No. 123. The formation energy is 1.3426 eV/atom.

abc: 4.9587 4.9587 4.6131
angles: 90.00 90.00 90.00
Fractional coordinates of all 5 atoms:
Hf  0.0000  0.0000  0.0000
Nb  0.5000  0.5000  0.5000
Cu  0.0000  0.0000  0.5000
Au  0.0000  0.5000  0.0000
Au  0.5000  0.0000  0.0000

(22)
Computed, not measured: crystalline CuHg2Au at its relaxed geometry at the PBEsol level of DFT.

Its space group is No. 47. The formation energy is 0.1268 eV/atom. The calculation puts the excess energy over the best structure of this formula in the dataset at 0.000 eV/atom.

abc: 3.9252 4.2231 4.2383
angles: 90.00 90.00 90.00
Fractional coordinates of all 4 atoms:
Cu  0.0000  0.0000  0.0000
Hg  0.5000  0.0000  0.5000
Hg  0.5000  0.5000  0.0000
Au  0.0000  0.5000  0.5000

(23)
Computed, not measured: crystalline CuHg2Au at its relaxed geometry at the PBEsol level of DFT.

Its space group is No. 216. The formation energy is 0.1612 eV/atom. The calculation puts the excess energy over the best structure of this formula in the dataset at 0.034 eV/atom.

abc: 6.5622 6.5622 6.5622
angles: 90.00 90.00 90.00
Fractional coordinates of all 16 atoms:
Cu  0.0000  0.0000  0.0000
Cu  0.0000  0.5000  0.5000
Cu  0.5000  0.0000  0.5000
Cu  0.5000  0.5000  0.0000
Hg  0.0000  0.0000  0.5000
Hg  0.0000  0.5000  0.0000
Hg  0.2500  0.2500  0.2500
Hg  0.2500  0.7500  0.7500
Hg  0.5000  0.0000  0.0000
Hg  0.5000  0.5000  0.5000
Hg  0.7500  0.2500  0.7500
Hg  0.7500  0.7500  0.2500
Au  0.2500  0.2500  0.7500
Au  0.2500  0.7500  0.2500
Au  0.7500  0.2500  0.2500
Au  0.7500  0.7500  0.7500

(24)
Computed, not measured: crystalline Cu2HgAu at its relaxed geometry at the PBEsol level of DFT.

Its space group is No. 8. The formation energy is 0.0468 eV/atom.

abc: 9.5033 2.9088 4.5381
angles: 90.00 107.32 90.00
Fractional coordinates of all 8 atoms:
Cu  0.0000  0.0000  0.0000
Cu  0.2123  0.5000  0.2961
Cu  0.5000  0.5000  0.0000
Cu  0.7123  0.0000  0.2961
Hg  0.4671  0.0000  0.4799
Hg  0.9671  0.5000  0.4799
Au  0.2486  0.0000  0.8241
Au  0.7486  0.5000  0.8241

(25)
Computed, not measured: crystalline Cu2HgAu at its relaxed geometry at the PBEsol level of DFT.

Its space group is No. 65. The formation energy is 0.0368 eV/atom.

abc: 6.0012 6.1886 3.2146
angles: 90.00 90.00 90.00
Fractional coordinates of all 8 atoms:
Cu  0.2500  0.2500  0.0000
Cu  0.2500  0.7500  0.0000
Cu  0.7500  0.2500  0.0000
Cu  0.7500  0.7500  0.0000
Hg  0.0000  0.0000  0.5000
Hg  0.5000  0.5000  0.5000
Au  0.0000  0.5000  0.5000
Au  0.5000  0.0000  0.5000

(26)
Computed, not measured: crystalline Cu2HgAu2 at its relaxed geometry at the PBEsol level of DFT.

Its space group is No. 127. The formation energy is 0.0462 eV/atom. The calculation puts the excess energy over the best structure of this formula in the dataset at 0.000 eV/atom.

abc: 7.4093 7.4093 2.9124
angles: 90.00 90.00 90.00
Fractional coordinates of all 10 atoms:
Cu  0.1608  0.3392  0.0000
Cu  0.3392  0.8392  0.0000
Cu  0.6608  0.1608  0.0000
Cu  0.8392  0.6608  0.0000
Hg  0.0000  0.0000  0.5000
Hg  0.5000  0.5000  0.5000
Au  0.1358  0.6358  0.5000
Au  0.3642  0.1358  0.5000
Au  0.6358  0.8642  0.5000
Au  0.8642  0.3642  0.5000

(27)
Computed, not measured: crystalline Cu2HgAu2 at its relaxed geometry at the PBEsol level of DFT.

Its space group is No. 139. The formation energy is 0.1284 eV/atom. The calculation puts the excess energy over the best structure of this formula in the dataset at 0.082 eV/atom.

abc: 3.5238 3.5238 13.4290
angles: 90.00 90.00 90.00
Fractional coordinates of all 10 atoms:
Cu  0.0000  0.5000  0.2500
Cu  0.0000  0.5000  0.7500
Cu  0.5000  0.0000  0.2500
Cu  0.5000  0.0000  0.7500
Hg  0.0000  0.0000  0.0000
Hg  0.5000  0.5000  0.5000
Au  0.0000  0.0000  0.3923
Au  0.0000  0.0000  0.6077
Au  0.5000  0.5000  0.1077
Au  0.5000  0.5000  0.8923